Entry a
Below is Zr2TaNi after structural relaxation, with properties calculated at the PBE level.

Unit cell a=10.3494 b=10.3494 c=10.3494 alpha=158.01 beta=158.01 gamma=31.30
Closest atoms and distances in Å follow each position.
Positions (direct):
Zr  0.1214  0.6250  0.9964  4 Zr 2.77-2.81, 2 Ni 2.85, 2 Ta 2.86
Zr  0.3750  0.3714  0.4964  4 Zr 2.77-2.81, 2 Ni 2.85, 2 Ta 2.86
Zr  0.6286  0.1250  0.0036  4 Zr 2.77-2.81, 2 Ni 2.85, 2 Ta 2.86
Zr  0.8750  0.8786  0.5036  4 Zr 2.77-2.81, 2 Ni 2.85, 2 Ta 2.86
Ta  0.2500  0.7500  0.5000  4 Ni 2.79, 4 Zr 2.86
Ta  0.5000  0.5000  0.0000  4 Ni 2.79, 4 Zr 2.86
Ni  0.0000  0.0000  0.0000  4 Ta 2.79, 4 Zr 2.85
Ni  0.7500  0.2500  0.5000  4 Ta 2.79, 4 Zr 2.85

Results
spin magnetization	0.00	μB/f.u.
density of states at the Fermi level	12.2	states/eV/cell

Entry b
Below is Zr2TaNi after structural relaxation, with properties calculated at the PBE level.

Unit cell a=9.0980 b=9.0980 c=9.0980 alpha=19.91 beta=19.91 gamma=19.91
Closest atoms and distances in Å follow each position.
Positions (direct):
Zr  0.2424  0.2424  0.2424  3 Ni 2.72, 3 Ta 3.03
Zr  0.7576  0.7576  0.7576  3 Ni 2.72, 3 Ta 3.03
Ta  0.0000  0.0000  0.0000  6 Zr 3.03, 6 Ta 3.15
Ni  0.5000  0.5000  0.5000  6 Zr 2.72

Results
spin magnetization	0.00	μB/f.u.
density of states at the Fermi level	4.3	states/eV/cell

The computed energies, referenced to the most stable structure and given in meV per atom, are entry a 468; entry b 0.